Crystalline CoAgPt2 at its relaxed geometry, computed with PBE.

Summary:
Space group   R-3m (166)
Magnetic moment   2.30 μB/cell

a b c (Å): 9.2568 9.2568 9.2568
angles (deg): 17.16 17.16 17.16
Last column: nearest neighbours and their distance in Å.
Atoms (fractional coordinates):
Pt (0.4932, 0.4932, 0.4932)  3 Co 2.63, 6 Pt 2.76, 3 Ag 2.94
Pt (0.0068, 0.0068, 0.0068)  3 Co 2.63, 6 Pt 2.76, 3 Ag 2.94
Co (0.7500, 0.7500, 0.7500)  6 Pt 2.63, 6 Co 2.76
Ag (0.2500, 0.2500, 0.2500)  6 Ag 2.76, 6 Pt 2.94

---

Crystalline Co2AgPt2 at its relaxed geometry, computed with PBE.

Summary:
Space group   I4/mmm (139)
Magnetic moment   4.37 μB/cell

a b c (Å): 3.8571 3.8571 5.9926
angles (deg): 71.23 71.23 90.00
Last column: nearest neighbours and their distance in Å.
Atoms (fractional coordinates):
Co (0.4008, 0.4008, 0.1984)  1 Co 2.12
Co (0.5992, 0.5992, 0.8016)  1 Co 2.12
Pt (0.2500, 0.7500, 0.5000)  4 Co 2.51, 4 Pt 2.73
Pt (0.7500, 0.2500, 0.5000)  4 Co 2.51, 4 Pt 2.73
Ag (0.0000, 0.0000, 0.0000)  8 Co 2.93

---

Crystalline CoAg2Pt at its relaxed geometry, computed with PBE.

Summary:
Space group   Pmmm (47)
Magnetic moment   2.04 μB/cell

a b c (Å): 2.8581 4.6136 4.7914
angles (deg): 90.00 90.00 90.00
Last column: nearest neighbours and their distance in Å.
Atoms (fractional coordinates):
Co (0.5000, 0.0000, 0.5000)  4 Pt 2.71, 4 Ag 2.79, 2 Co 2.86
Ag (0.0000, 0.0000, 0.0000)  6 Ag 2.71-2.86, 4 Co 2.79
Ag (0.5000, 0.5000, 0.0000)  6 Ag 2.71-2.86, 4 Pt 2.79
Pt (0.0000, 0.5000, 0.5000)  4 Co 2.71, 4 Ag 2.79, 2 Pt 2.86

---

Crystalline CoAgPt2 at its relaxed geometry, computed with PBE.

Summary:
Space group   C2/m (12)
Magnetic moment   2.30 μB/cell

a b c (Å): 4.8151 4.8151 4.8135
angles (deg): 78.82 78.82 33.52
Last column: nearest neighbours and their distance in Å.
Atoms (fractional coordinates):
Pt (0.5089, 0.5089, 0.4892)  3 Co 2.68-2.85, 6 Pt 2.72-2.84, 3 Ag 2.77-2.83
Pt (0.9911, 0.9911, 0.0108)  3 Co 2.68-2.85, 6 Pt 2.72-2.84, 3 Ag 2.77-2.83
Ag (0.7500, 0.7500, 0.7500)  6 Pt 2.77-2.83, 2 Ag 2.78, 4 Co 2.78
Co (0.2500, 0.2500, 0.2500)  6 Pt 2.68-2.85, 2 Co 2.78, 4 Ag 2.78

---

Crystalline CoAg2Pt at its relaxed geometry, computed with PBE.

Summary:
Space group   C2/m (12)
Magnetic moment   2.01 μB/cell

a b c (Å): 4.9765 4.9765 4.7642
angles (deg): 80.13 80.13 32.56
Last column: nearest neighbours and their distance in Å.
Atoms (fractional coordinates):
Pt (0.2500, 0.2500, 0.2500)  4 Co 2.76, 2 Pt 2.79, 6 Ag 2.83-2.87
Ag (0.4965, 0.4965, 0.5042)  6 Ag 2.74-2.79, 3 Co 2.81-2.87, 3 Pt 2.83-2.87
Ag (0.0035, 0.0035, 0.9958)  6 Ag 2.74-2.79, 3 Co 2.81-2.87, 3 Pt 2.83-2.87
Co (0.7500, 0.7500, 0.7500)  4 Pt 2.76, 2 Co 2.79, 6 Ag 2.81-2.87

---

Crystalline CoAg2Pt at its relaxed geometry, computed with PBE.

Summary:
Space group   Cmmm (65)
Magnetic moment   1.77 μB/cell

a b c (Å): 2.7365 2.7365 9.5974
angles (deg): 90.00 90.00 118.33
Last column: nearest neighbours and their distance in Å.
Atoms (fractional coordinates):
Ag (0.0000, 0.0000, 0.0107)  2 Co 2.69, 6 Ag 2.74-2.81, 2 Pt 2.87
Ag (0.0000, 0.0000, 0.4893)  2 Co 2.69, 6 Ag 2.74-2.81, 2 Pt 2.87
Pt (0.5000, 0.5000, 0.7500)  6 Pt 2.74-2.81, 4 Ag 2.87
Co (0.5000, 0.5000, 0.2500)  4 Ag 2.69, 6 Co 2.74-2.81

---

Crystalline CoAg2Pt at its relaxed geometry, computed with PBE.

Summary:
Space group   Imm2 (44)
Magnetic moment   2.04 μB/cell

a b c (Å): 5.4642 5.4642 5.4642
angles (deg): 149.84 128.34 60.99
Last column: nearest neighbours and their distance in Å.
Atoms (fractional coordinates):
Ag (0.0055, 0.0055, 0.0000)  4 Co 2.78, 4 Ag 2.84-2.92, 2 Pt 2.87
Ag (0.7347, 0.2347, 0.5000)  2 Co 2.72, 4 Pt 2.79, 4 Ag 2.84-2.92
Pt (0.2708, 0.7708, 0.5000)  2 Co 2.50, 4 Ag 2.79
Co (0.4890, 0.4890, 0.0000)  2 Pt 2.50, 6 Ag 2.72-2.78

---

Crystalline CoAgPt2 at its relaxed geometry, computed with PBE.

Summary:
Space group   I-42d (122)
Magnetic moment   5.03 μB/cell

a b c (Å): 3.8213 3.8213 9.5138
angles (deg): 78.41 78.41 90.00
Last column: nearest neighbours and their distance in Å.
Atoms (fractional coordinates):
Ag (0.0000, 0.0000, 0.0000)  4 Pt 2.67, 4 Co 2.70
Ag (0.7500, 0.2500, 0.5000)  4 Pt 2.67, 4 Co 2.70
Pt (0.8750, 0.8637, 0.7500)  2 Co 2.64, 4 Pt 2.64-2.76, 2 Ag 2.67
Pt (0.1363, 0.6250, 0.2500)  2 Co 2.64, 4 Pt 2.64-2.76, 2 Ag 2.67
Pt (0.3750, 0.3863, 0.7500)  2 Co 2.64, 4 Pt 2.64-2.76, 2 Ag 2.67
Pt (0.6137, 0.1250, 0.2500)  2 Co 2.64, 4 Pt 2.64-2.76, 2 Ag 2.67
Co (0.2500, 0.7500, 0.5000)  4 Pt 2.64, 4 Ag 2.70
Co (0.5000, 0.5000, 0.0000)  4 Pt 2.64, 4 Ag 2.70

---

no.,energy relative to the elements (eV per atom)
1,-0.0588
2,0.2874
3,0.2375
4,0.0563
5,0.1892
6,0.2539
7,0.2384
8,0.4322